{
  "formula": "La2ReRh",
  "functional": "GGA-PBE",
  "state": "optimized geometry",
  "lattice_angstrom": [[-2.3610, -0.0139, -2.5548], [1.2228, -3.0605, -1.1134], [-5.4329, -4.0052, 5.0427]],
  "species": ["Re", "Rh", "La", "La"],
  "frac_coords": [[0.0000, 0.0000, 0.5755], [0.5000, 0.5000, 0.6852], [0.0000, 0.0000, 0.9156], [0.5000, 0.5000, 0.3237]],
  "formation_enthalpy_0k_ev_per_atom": 0.173
}